No. 1
{"formula": "Rb2In2Pb5", "functional": "PBE", "state": "relaxed", "cell": [[5.1334, 0.0000, 0.0000], [0.0000, 5.1334, 0.0000], [0.0000, 0.0000, 11.9293]], "species": ["Rb", "Rb", "In", "In", "Pb", "Pb", "Pb", "Pb", "Pb"], "fractional_positions": [[0.0000, 0.0000, 0.0000], [0.0000, 0.0000, 0.5000], [0.5000, 0.5000, 0.1252], [0.5000, 0.5000, 0.8748], [0.0000, 0.5000, 0.2809], [0.0000, 0.5000, 0.7191], [0.5000, 0.0000, 0.2809], [0.5000, 0.0000, 0.7191], [0.5000, 0.5000, 0.5000]], "magmom_total_mub_per_cell": 0.0, "dos_at_fermi_per_ev_cell": 3.83, "total_energy_ev_per_atom": -2.924, "sg": "P4/mmm, No. 123"}



No. 2
{"formula": "Rb2In3Pb9", "functional": "PBE", "state": "relaxed", "cell": [[8.4067, -4.7906, 0.0000], [8.4067, 4.7906, 0.0000], [-6.0223, 0.0000, 12.0096]], "species": ["Rb", "Rb", "Rb", "Rb", "In", "In", "In", "In", "In", "In", "Pb", "Pb", "Pb", "Pb", "Pb", "Pb", "Pb", "Pb", "Pb", "Pb", "Pb", "Pb", "Pb", "Pb", "Pb", "Pb", "Pb", "Pb"], "fractional_positions": [[0.0935, 0.2549, 0.2370], [0.2549, 0.0935, 0.7370], [0.7451, 0.9065, 0.2630], [0.9065, 0.7451, 0.7630], [0.0000, 0.5000, 0.0000], [0.1368, 0.6935, 0.4955], [0.3065, 0.8632, 0.0045], [0.5000, 0.0000, 0.5000], [0.6935, 0.1368, 0.9955], [0.8632, 0.3065, 0.5045], [0.0362, 0.8479, 0.1001], [0.1521, 0.9638, 0.3999], [0.1956, 0.3668, 0.5601], [0.2526, 0.5573, 0.2585], [0.3192, 0.4951, 0.9591], [0.3489, 0.6511, 0.7500], [0.3668, 0.1956, 0.0601], [0.4427, 0.7474, 0.2415], [0.4951, 0.3192, 0.4591], [0.5049, 0.6808, 0.5409], [0.5573, 0.2526, 0.7585], [0.6332, 0.8044, 0.9399], [0.6511, 0.3489, 0.2500], [0.6808, 0.5049, 0.0409], [0.7474, 0.4427, 0.7415], [0.8044, 0.6332, 0.4399], [0.8479, 0.0362, 0.6001], [0.9638, 0.1521, 0.8999]], "magmom_total_mub_per_cell": 0.0, "dos_at_fermi_per_ev_cell": 13.78, "total_energy_ev_per_atom": -3.147, "sg": "C2/c, No. 15"}



No. 3
{"formula": "RbIn4Pb4", "functional": "PBE", "state": "relaxed", "cell": [[10.2110, 0.0000, 0.0000], [0.0000, 10.2110, 0.0000], [0.0000, 0.0000, 6.4703]], "species": ["Rb", "Rb", "In", "In", "In", "In", "In", "In", "In", "In", "Pb", "Pb", "Pb", "Pb", "Pb", "Pb", "Pb", "Pb"], "fractional_positions": [[0.2500, 0.2500, 0.2500], [0.7500, 0.7500, 0.7500], [0.0827, 0.9067, 0.1281], [0.0933, 0.5827, 0.6281], [0.4067, 0.9173, 0.6281], [0.4173, 0.5933, 0.1281], [0.5827, 0.4067, 0.8719], [0.5933, 0.0827, 0.3719], [0.9067, 0.4173, 0.3719], [0.9173, 0.0933, 0.8719], [0.1084, 0.8899, 0.6207], [0.1101, 0.6084, 0.1207], [0.3899, 0.8916, 0.1207], [0.3916, 0.6101, 0.6207], [0.6084, 0.3899, 0.3793], [0.6101, 0.1084, 0.8793], [0.8899, 0.3916, 0.8793], [0.8916, 0.1101, 0.3793]], "magmom_total_mub_per_cell": 0.0, "dos_at_fermi_per_ev_cell": 10.50, "total_energy_ev_per_atom": -2.926, "sg": "P4_2/n, No. 86"}



No. 4
{"formula": "RbIn2Pb10", "functional": "PBE", "state": "relaxed", "cell": [[0.0000, 8.0808, 8.2588], [3.2436, 0.0000, 8.2588], [3.2436, 8.0808, 0.0000]], "species": ["Rb", "In", "In", "Pb", "Pb", "Pb", "Pb", "Pb", "Pb", "Pb", "Pb", "Pb", "Pb"], "fractional_positions": [[0.0000, 0.0000, 0.0000], [0.0000, 0.5000, 0.0000], [0.5000, 0.0000, 0.5000], [0.0000, 0.0000, 0.5000], [0.0020, 0.3558, 0.6442], [0.2788, 0.4958, 0.5042], [0.3558, 0.0020, 0.9980], [0.4958, 0.2788, 0.7212], [0.5000, 0.5000, 0.0000], [0.5042, 0.7212, 0.2788], [0.6442, 0.9980, 0.0020], [0.7212, 0.5042, 0.4958], [0.9980, 0.6442, 0.3558]], "magmom_total_mub_per_cell": 0.0, "dos_at_fermi_per_ev_cell": 5.08, "total_energy_ev_per_atom": -3.372, "sg": "Fmmm, No. 69"}



No. 5
{"formula": "RbIn2Pb2", "functional": "PBE", "state": "relaxed", "cell": [[-2.6525, 2.6525, 6.2583], [2.6525, -2.6525, 6.2583], [2.6525, 2.6525, -6.2583]], "species": ["Rb", "In", "In", "Pb", "Pb"], "fractional_positions": [[0.0000, 0.0000, 0.0000], [0.3835, 0.3835, 0.0000], [0.6165, 0.6165, 0.0000], [0.2500, 0.7500, 0.5000], [0.7500, 0.2500, 0.5000]], "magmom_total_mub_per_cell": 0.0, "dos_at_fermi_per_ev_cell": 2.44, "total_energy_ev_per_atom": -2.894, "sg": "I4/mmm, No. 139"}



No. 6
{"formula": "RbIn3Pb3", "functional": "PBE", "state": "relaxed", "cell": [[0.0000, 7.3770, 7.3770], [7.3770, 0.0000, 7.3770], [7.3770, 7.3770, 0.0000]], "species": ["Rb", "Rb", "In", "In", "In", "In", "In", "In", "Pb", "Pb", "Pb", "Pb", "Pb", "Pb"], "fractional_positions": [[0.2500, 0.2500, 0.2500], [0.7500, 0.7500, 0.7500], [0.1457, 0.1457, 0.8543], [0.1457, 0.8543, 0.1457], [0.1457, 0.8543, 0.8543], [0.8543, 0.1457, 0.1457], [0.8543, 0.1457, 0.8543], [0.8543, 0.8543, 0.1457], [0.3462, 0.3462, 0.6538], [0.3462, 0.6538, 0.3462], [0.3462, 0.6538, 0.6538], [0.6538, 0.3462, 0.3462], [0.6538, 0.3462, 0.6538], [0.6538, 0.6538, 0.3462]], "magmom_total_mub_per_cell": 0.0, "dos_at_fermi_per_ev_cell": 4.06, "total_energy_ev_per_atom": -2.686, "sg": "Fm-3m, No. 225"}



No. 7
{"formula": "RbInPb6", "functional": "PBE", "state": "relaxed", "cell": [[5.2200, 0.0000, 0.0000], [0.0000, 5.2200, 0.0000], [0.0000, 0.0000, 10.8349]], "species": ["Rb", "In", "Pb", "Pb", "Pb", "Pb", "Pb", "Pb"], "fractional_positions": [[0.0000, 0.0000, 0.0000], [0.0000, 0.0000, 0.5000], [0.0000, 0.5000, 0.3271], [0.0000, 0.5000, 0.6729], [0.5000, 0.0000, 0.3271], [0.5000, 0.0000, 0.6729], [0.5000, 0.5000, 0.1503], [0.5000, 0.5000, 0.8497]], "magmom_total_mub_per_cell": 0.0, "dos_at_fermi_per_ev_cell": 2.85, "total_energy_ev_per_atom": -3.284, "sg": "P4/mmm, No. 123"}



No. 8
{"formula": "RbIn3Pb3", "functional": "PBE", "state": "relaxed", "cell": [[3.9507, 2.2809, 9.1589], [-3.9507, 2.2809, 9.1589], [0.0000, -4.5618, 9.1589]], "species": ["Rb", "Rb", "In", "In", "In", "In", "In", "In", "Pb", "Pb", "Pb", "Pb", "Pb", "Pb"], "fractional_positions": [[0.1812, 0.1812, 0.1812], [0.8188, 0.8188, 0.8188], [0.0912, 0.2536, 0.5680], [0.2536, 0.5680, 0.0912], [0.4320, 0.9088, 0.7464], [0.5680, 0.0912, 0.2536], [0.7464, 0.4320, 0.9088], [0.9088, 0.7464, 0.4320], [0.2188, 0.3531, 0.6898], [0.3102, 0.7812, 0.6469], [0.3531, 0.6898, 0.2188], [0.6469, 0.3102, 0.7812], [0.6898, 0.2188, 0.3531], [0.7812, 0.6469, 0.3102]], "magmom_total_mub_per_cell": 0.0, "dos_at_fermi_per_ev_cell": 5.18, "total_energy_ev_per_atom": -2.913, "sg": "R-3, No. 148"}



No. 9
{"formula": "Rb3InPb4", "functional": "PBE", "state": "relaxed", "cell": [[7.3597, 0.0000, 0.0000], [0.0000, 13.9863, 0.0000], [0.0000, 0.0000, 6.8866]], "species": ["Rb", "Rb", "Rb", "Rb", "Rb", "Rb", "In", "In", "Pb", "Pb", "Pb", "Pb", "Pb", "Pb", "Pb", "Pb"], "fractional_positions": [[0.2500, 0.0051, 0.1786], [0.2500, 0.2500, 0.5447], [0.2500, 0.4949, 0.1786], [0.7500, 0.5051, 0.8214], [0.7500, 0.7500, 0.4553], [0.7500, 0.9949, 0.8214], [0.2500, 0.7500, 0.3058], [0.7500, 0.2500, 0.6942], [0.0158, 0.2500, 0.0383], [0.2500, 0.6316, 0.6860], [0.2500, 0.8684, 0.6860], [0.4842, 0.2500, 0.0383], [0.5158, 0.7500, 0.9617], [0.7500, 0.1316, 0.3140], [0.7500, 0.3684, 0.3140], [0.9842, 0.7500, 0.9617]], "magmom_total_mub_per_cell": 0.0, "dos_at_fermi_per_ev_cell": 7.54, "total_energy_ev_per_atom": -2.707, "sg": "Pmmn, No. 59"}



No. 10
{"formula": "Rb2In3Pb5", "functional": "PBE", "state": "relaxed", "cell": [[5.2236, 0.0000, 0.0000], [0.0000, 5.2236, 0.0000], [0.0000, 0.0000, 13.4668]], "species": ["Rb", "Rb", "In", "In", "In", "Pb", "Pb", "Pb", "Pb", "Pb"], "fractional_positions": [[0.0000, 0.5000, 0.2438], [0.5000, 0.0000, 0.7562], [0.0000, 0.0000, 0.0000], [0.0000, 0.5000, 0.8743], [0.5000, 0.0000, 0.1257], [0.0000, 0.0000, 0.5000], [0.0000, 0.5000, 0.6412], [0.5000, 0.0000, 0.3588], [0.5000, 0.5000, 0.0000], [0.5000, 0.5000, 0.5000]], "magmom_total_mub_per_cell": 0.0, "dos_at_fermi_per_ev_cell": 5.52, "total_energy_ev_per_atom": -2.949, "sg": "P-4m2, No. 115"}



No. 11
{"formula": "RbIn2Pb2", "functional": "PBE", "state": "relaxed", "cell": [[9.6708, 0.0000, 0.0000], [0.0000, 9.6708, 0.0000], [0.0000, 0.0000, 3.6232]], "species": ["Rb", "Rb", "In", "In", "In", "In", "Pb", "Pb", "Pb", "Pb"], "fractional_positions": [[0.0000, 0.0000, 0.0000], [0.5000, 0.5000, 0.0000], [0.1560, 0.3440, 0.5000], [0.3440, 0.8440, 0.5000], [0.6560, 0.1560, 0.5000], [0.8440, 0.6560, 0.5000], [0.1303, 0.6303, 0.0000], [0.3697, 0.1303, 0.0000], [0.6303, 0.8697, 0.0000], [0.8697, 0.3697, 0.0000]], "magmom_total_mub_per_cell": 0.0, "dos_at_fermi_per_ev_cell": 5.81, "total_energy_ev_per_atom": -2.815, "sg": "P4/mbm, No. 127"}